Computed, not measured: a relaxed structure of NaMnPt at the GGA-PBE level of DFT.

Lattice parameters (Å, degrees): 5.4770 5.5450 7.2489 90.00 90.00 90.00
Closest atoms and distances in Å follow each position.
Space group Imma (No. 74)
Unique sites:
1 Na 0.0000 0.2500 0.1335 x4  6 Pt 3.00-3.22, 6 Mn 3.10-3.21, 2 Na 3.22
2 Mn 0.2500 0.2500 0.7500 x4  4 Pt 2.66, 2 Mn 2.74
3 Pt 0.0000 0.0000 0.5000 x4  4 Mn 2.66, 2 Pt 2.77

Properties
Its density of states at the Fermi level is 7.83 states/eV per cell. For the uncorrected energy, the calculation gives -5.592 eV/atom.